Entry from Alexandria via LeMat-Bulk: a relaxed SiAsAu2 crystal (PBE).

**E_form (uncorrected)**: 267 meV/atom
**Energy above the most stable polymorph in this dataset**: 0.184 eV/atom
**E_tot**: -3.8899 eV/atom

Cell: 3.020 3.020 7.906 Å, 90.00 90.00 90.00°
Atoms (fractional coordinates):
Si1 0.000 0.000 0.000
As1 0.500 0.500 0.280
Au1 0.000 0.000 0.523
Au2 0.500 0.500 0.792